Run 1
GGA-PBE SrVSb3, relaxed; total magnetization = 0.00 μB per cell; ρ = 5.8 g/cm3
1.0
5.250 0.000 0.000
0.000 5.250 0.000
0.000 0.000 5.250
Sb Sr V
3 1 1
Direct
0.000 0.500 0.000
0.000 0.000 0.500
0.500 0.000 0.000
0.500 0.500 0.500
0.000 0.000 0.000

***

Run 2
GGA-PBE SrVSb3, relaxed; total magnetization = 3.60 μB per cell; ρ = 4.1 g/cm3
1.0
-3.933 -4.383 0.148
3.809 -3.513 -2.802
2.173 -1.776 5.179
Sb Sr V
3 1 1
Direct
0.000 0.500 0.000
0.000 0.000 0.500
0.500 0.000 0.000
0.000 0.000 0.000
0.500 0.500 0.500

***

Stability ranking, top and bottom: run 1 is the most stable and run 2 is the least stable.

***

Run 1
GGA-PBE Sr3SbW, relaxed; total magnetization = 0.00 μB per cell; ρ = 5.1 g/cm3
1.0
5.712 0.000 0.000
0.000 5.712 0.000
0.000 0.000 5.712
Sb W Sr
1 1 3
Direct
0.500 0.500 0.500
0.000 0.000 0.000
0.000 0.500 0.000
0.000 0.000 0.500
0.500 0.000 0.000

***

Run 2
GGA-PBE Sr3SbW, relaxed; total magnetization = 5.94 μB per cell; ρ = 3.9 g/cm3
1.0
-5.851 1.765 -1.111
-1.664 -5.946 -0.684
-1.257 -0.347 6.073
Sb W Sr
1 1 3
Direct
0.000 0.000 0.000
0.500 0.500 0.500
0.000 0.500 0.000
0.000 0.000 0.500
0.500 0.000 0.000

***

Stability ranking, top and bottom: run 1 is the most stable and run 2 is the least stable.

***

Run 1
GGA-PBE SrSb2W, relaxed; total magnetization = 0.00 μB per cell; ρ = 7.8 g/cm3
1.0
3.996 -0.285 -0.056
2.252 3.314 -0.056
2.202 1.068 7.829
Sb Sr W
2 1 1
Direct
0.066 0.066 0.801
0.268 0.268 0.197
0.497 0.497 0.507
0.668 0.668 0.995

***

Run 2
GGA-PBE SrSb2W, relaxed; total magnetization = 0.33 μB per cell; ρ = 7.8 g/cm3
1.0
-0.135 0.477 4.110
0.725 -3.136 2.603
7.523 0.918 2.097
Sb Sr W
2 1 1
Direct
0.017 0.017 0.948
0.483 0.483 0.552
0.250 0.250 0.250
0.750 0.750 0.750

***

Stability ranking, top and bottom: run 2 is the most stable and run 1 is the least stable.